Entry 1
DFT (PBE) results for a relaxed structure of BiPbOF2.

## Properties
The value obtained for the calculated volume is 102.20 Å³ per cell.

Unit cell a=4.663 b=4.663 c=4.701 alpha=90.00 beta=90.00 gamma=90.00
Space group P4/mmm (No. 123)
Unique sites:
Bi 0.000 0.000 0.000
Pb 0.500 0.500 0.500
O 0.000 0.000 0.500
F 0.000 0.500 0.000



Entry 2
DFT (PBE) results for a relaxed structure of BiPbOF2.

## Properties
The value obtained for the calculated volume is 102.30 Å³ per cell.

Unit cell a=4.975 b=4.975 c=4.133 alpha=90.00 beta=90.00 gamma=90.00
Space group P4/mmm (No. 123)
Unique sites:
Bi 0.000 0.000 0.000
Pb 0.500 0.500 0.000
O 0.000 0.000 0.500
F 0.000 0.500 0.500



Which structure is most stable, and how do the rest compare? From most to least stable: entry 1, entry 2.



Entry 1
DFT (PBE) results for a relaxed structure of ScBiOF2.

## Properties
The value obtained for the calculated volume is 97.34 Å³ per cell.

Unit cell a=4.630 b=4.630 c=4.540 alpha=90.00 beta=90.00 gamma=90.00
Space group P4/mmm (No. 123)
Unique sites:
Sc 0.000 0.000 0.000
Bi 0.500 0.500 0.500
O 0.500 0.500 0.000
F 0.000 0.500 0.500



Entry 2
DFT (PBE) results for a relaxed structure of ScBiOF2.

## Properties
The value obtained for the calculated volume is 76.22 Å³ per cell.

Unit cell a=4.295 b=4.295 c=4.132 alpha=90.00 beta=90.00 gamma=90.00
Space group P4/mmm (No. 123)
Unique sites:
Sc 0.000 0.000 0.000
Bi 0.500 0.500 0.500
O 0.000 0.000 0.500
F 0.000 0.500 0.000



Which structure is most stable, and how do the rest compare? From most to least stable: entry 2, entry 1.



Entry 1
DFT (PBE) results for a relaxed structure of BiSeOF2.

## Properties
The value obtained for the calculated volume is 95.12 Å³ per cell.

Unit cell a=4.626 b=4.626 c=4.444 alpha=90.00 beta=90.00 gamma=90.00
Space group P4/mmm (No. 123)
Unique sites:
Bi 0.000 0.000 0.000
Se 0.500 0.500 0.500
O 0.000 0.000 0.500
F 0.000 0.500 0.000



Entry 2
DFT (PBE) results for a relaxed structure of BiSeOF2.

## Properties
The value obtained for the calculated volume is 87.51 Å³ per cell.

Unit cell a=4.870 b=4.870 c=3.690 alpha=90.00 beta=90.00 gamma=90.00
Space group P4/mmm (No. 123)
Unique sites:
Bi 0.000 0.000 0.000
Se 0.500 0.500 0.500
O 0.500 0.500 0.000
F 0.000 0.500 0.500



Which structure is most stable, and how do the rest compare? From most to least stable: entry 1, entry 2.



Entry 1
DFT (PBE) results for a relaxed structure of SrBiOF2.

## Properties
The value obtained for the calculated volume is 103.80 Å³ per cell.

Unit cell a=4.777 b=4.777 c=4.549 alpha=90.00 beta=90.00 gamma=90.00
Space group P4/mmm (No. 123)
Unique sites:
Sr 0.000 0.000 0.000
Bi 0.500 0.500 0.500
O 0.500 0.500 0.000
F 0.000 0.500 0.500



Entry 2
DFT (PBE) results for a relaxed structure of SrBiOF2.

## Properties
The value obtained for the calculated volume is 100.74 Å³ per cell.

Unit cell a=4.514 b=4.514 c=4.944 alpha=90.00 beta=90.00 gamma=90.00
Space group P4/mmm (No. 123)
Unique sites:
Sr 0.000 0.000 0.000
Bi 0.500 0.500 0.500
O 0.000 0.000 0.500
F 0.000 0.500 0.000



Which structure is most stable, and how do the rest compare? From most to least stable: entry 1, entry 2.



Entry 1
DFT (PBE) results for a relaxed structure of TcBiOF2.

## Properties
The value obtained for the calculated volume is 76.31 Å³ per cell.

Unit cell a=4.521 b=4.521 c=3.734 alpha=90.00 beta=90.00 gamma=90.00
Space group P4/mmm (No. 123)
Unique sites:
Tc 0.000 0.000 0.000
Bi 0.500 0.500 0.500
O 0.000 0.000 0.500
F 0.000 0.500 0.000



Entry 2
DFT (PBE) results for a relaxed structure of TcBiOF2.

## Properties
The value obtained for the calculated volume is 95.76 Å³ per cell.

Unit cell a=4.595 b=4.595 c=4.535 alpha=90.00 beta=90.00 gamma=90.00
Space group P4/mmm (No. 123)
Unique sites:
Tc 0.000 0.000 0.000
Bi 0.500 0.500 0.500
O 0.500 0.500 0.000
F 0.000 0.500 0.500



Which structure is most stable, and how do the rest compare? From most to least stable: entry 1, entry 2.



Entry 1
DFT (PBE) results for a relaxed structure of TlBiOF2.

## Properties
The value obtained for the calculated volume is 91.34 Å³ per cell.

Unit cell a=4.612 b=4.612 c=4.295 alpha=90.00 beta=90.00 gamma=90.00
Space group P4/mmm (No. 123)
Unique sites:
Tl 0.000 0.000 0.000
Bi 0.500 0.500 0.500
O 0.000 0.000 0.500
F 0.000 0.500 0.000



Entry 2
DFT (PBE) results for a relaxed structure of TlBiOF2.

## Properties
The value obtained for the calculated volume is 100.05 Å³ per cell.

Unit cell a=4.705 b=4.705 c=4.519 alpha=90.00 beta=90.00 gamma=90.00
Space group P4/mmm (No. 123)
Unique sites:
Tl 0.000 0.000 0.000
Bi 0.500 0.500 0.500
O 0.500 0.500 0.000
F 0.000 0.500 0.500



Which structure is most stable, and how do the rest compare? From most to least stable: entry 2, entry 1.